[1]
VASP calculation (GGA-PBE) on a relaxed structure of Sm2Zn2Co2C.

- Density: 7.70 Mg/m³
- ΔH_f (0 K): -0.25 eV per atom

a = 10.909 Å, b = 4.031 Å, c = 7.131 Å
α = 90.00°, β = 129.44°, γ = 90.00°
Space group C2/m (No. 12)
Asymmetric unit:
Sm1 0.053 0.000 0.284 x4
Zn1 0.159 0.500 0.710 x4
Co1 0.191 0.500 0.086 x4
C1 0.000 0.500 0.000 x2

***

[2]
VASP calculation (GGA-PBE) on a relaxed structure of Sm2ZnCoC.

- Density: 7.53 Mg/m³
- ΔH_f (0 K): -0.29 eV per atom

a = 5.151 Å, b = 5.151 Å, c = 3.634 Å
α = 90.00°, β = 90.00°, γ = 90.00°
Space group P4/mmm (No. 123)
Asymmetric unit:
Sm1 0.000 0.500 0.000 x2
Zn1 0.000 0.000 0.500 x1
Co1 0.500 0.500 0.500 x1
C1 0.500 0.500 0.000 x1

***

[3]
VASP calculation (GGA-PBE) on a relaxed structure of CoSnC3.

- Density: 6.15 Mg/m³
- ΔH_f (0 K): 2.01 eV per atom
- Energy relative to the lowest polymorph listed for this composition: 0 meV per atom

a = 3.865 Å, b = 3.865 Å, c = 3.865 Å
α = 90.00°, β = 90.00°, γ = 90.00°
Space group Pm-3m (No. 221)
Asymmetric unit:
Co1 0.000 0.000 0.000 x1
Sn1 0.500 0.500 0.500 x1
C1 0.000 0.000 0.500 x3

***

[4]
VASP calculation (GGA-PBE) on a relaxed structure of Co2SnC.

- Density: 8.39 Mg/m³
- ΔH_f (0 K): 1.21 eV per atom
- Energy relative to the lowest polymorph listed for this composition: 797 meV per atom

a = 5.816 Å, b = 5.816 Å, c = 5.816 Å
α = 90.00°, β = 90.00°, γ = 90.00°
Space group Fm-3m (No. 225)
Asymmetric unit:
Co1 0.250 0.250 0.250 x8
Sn1 0.000 0.000 0.000 x4
C1 0.000 0.000 0.500 x4

***

[5]
VASP calculation (GGA-PBE) on a relaxed structure of CoSnC2.

- Density: 6.41 Mg/m³
- ΔH_f (0 K): 1.00 eV per atom

a = 4.741 Å, b = 4.741 Å, c = 9.293 Å
α = 90.00°, β = 90.00°, γ = 90.00°
Space group I-42d (No. 122)
Asymmetric unit:
Co1 0.000 0.000 0.000 x4
Sn1 0.000 0.000 0.500 x4
C1 0.184 0.250 0.125 x8

***

[6]
VASP calculation (GGA-PBE) on a relaxed structure of CoSn3C.

- Density: 6.96 Mg/m³
- ΔH_f (0 K): 1.17 eV per atom
- Energy relative to the lowest polymorph listed for this composition: 0 meV per atom

a = 4.670 Å, b = 4.670 Å, c = 4.670 Å
α = 90.00°, β = 90.00°, γ = 90.00°
Space group Pm-3m (No. 221)
Asymmetric unit:
Co1 0.000 0.000 0.000 x1
Sn1 0.000 0.500 0.500 x3
C1 0.500 0.500 0.500 x1

***

Copy entry 2 word for word.
VASP calculation (GGA-PBE) on a relaxed structure of Sm2ZnCoC.

- Density: 7.53 Mg/m³
- ΔH_f (0 K): -0.29 eV per atom

a = 5.151 Å, b = 5.151 Å, c = 3.634 Å
α = 90.00°, β = 90.00°, γ = 90.00°
Space group P4/mmm (No. 123)
Asymmetric unit:
Sm1 0.000 0.500 0.000 x2
Zn1 0.000 0.000 0.500 x1
Co1 0.500 0.500 0.500 x1
C1 0.500 0.500 0.000 x1

***

ΔH_f (0 K) of number 5 (CoSnC2)?
1.00 eV per atom

***

The lowest ΔH_f (0 K) belongs to which entry?
Sm2ZnCoC